(1)
Here is a geometry-optimized TiNbAlW structure from Alexandria via LeMat-Bulk. Energies are from PBE-GGA.

The structure belongs to space group P4mm (No. 99); the cell edges are 3.2886, 3.2886 and 6.1489 Å and the angles 90.00°, 90.00° and 90.00°. The distinct sites, in fractional coordinates, are Ti at (0.0000, 0.0000, 0.0000), Nb at (0.0000, 0.0000, 0.4826), Al at (0.5000, 0.5000, 0.7459) and W at (0.5000, 0.5000, 0.2369).

The calculation puts the formation enthalpy at 0 K at -0.23 eV per atom. The value obtained for the excess energy over the best structure of this formula in the dataset is 0.000 eV per atom.

(2)
Here is a geometry-optimized SmDy2Mg structure from Alexandria via LeMat-Bulk. Energies are from PBE-GGA.

The structure belongs to space group P4/mmm (No. 123); the cell edges are 3.6246, 3.6246 and 9.1402 Å and the angles 90.00°, 90.00° and 90.00°. The distinct sites, in fractional coordinates, are Sm at (0.0000, 0.0000, 0.0000), Dy at (0.5000, 0.5000, 0.2703) and Mg at (0.0000, 0.0000, 0.5000).

The calculation puts the formation enthalpy at 0 K at -0.03 eV per atom. The value obtained for the excess energy over the best structure of this formula in the dataset is 0.002 eV per atom.

(3)
Here is a geometry-optimized CaNF structure from Alexandria via LeMat-Bulk. Energies are from PBE-GGA.

The structure belongs to space group C2/m (No. 12); the cell edges are 6.0418, 4.3698 and 6.3266 Å and the angles 90.00°, 91.06° and 90.00°. The distinct sites, in fractional coordinates, are Ca at (0.1780, 0.0000, 0.2528), N at (0.0000, 0.3549, 0.5000) and F at (0.1965, 0.0000, 0.8787).

As for the formation energy (no corrections): -2.14 eV per atom.

(4)
Here is a geometry-optimized SrNiBr2 structure from Alexandria via LeMat-Bulk. Energies are from PBE-GGA.

The structure belongs to space group P4/mmm (No. 123); the cell edges are 3.8720, 3.8720 and 6.8699 Å and the angles 90.00°, 90.00° and 90.00°. The distinct sites, in fractional coordinates, are Sr at (0.0000, 0.0000, 0.0000), Ni at (0.0000, 0.0000, 0.5000) and Br at (0.5000, 0.5000, 0.2510).

The value obtained for the excess energy over the best structure of this formula in the dataset is 0.542 eV per atom. As for the formation energy (no corrections): -0.45 eV per atom.